[1]
The following is a GGA-PBE calculation of PrHoPuIn after structural relaxation, from the Alexandria database.

extended XYZ file:
```
4
Lattice="-1.9785 3.5234 3.7305 1.6120 -0.3569 5.2459 3.2748 3.8658 2.1394" Properties=species:S:1:pos:R:3 pbc="T T T"
In 0.7271 1.7581 2.7790
Pu 1.4541 3.5161 5.5579
Ho 2.1812 5.2742 8.3369
Pr 0.0000 0.0000 0.0000
```

* total magnetization: 6.737 μB/cell
* space-group type: F-43m, No. 216
* crystal system: cubic
* total DFT energy (no corrections): -6.62 eV per atom

***

[2]
The following is a GGA-PBE calculation of Co2ReTc after structural relaxation, from the Alexandria database.

extended XYZ file:
```
4
Lattice="-4.7524 -0.7157 -3.2785 2.0290 -3.5597 1.9645 -2.2044 -0.5609 1.2512" Properties=species:S:1:pos:R:3 pbc="T T T"
Re -0.0877 -2.0603 1.6079
Tc -1.3617 -2.1377 -0.6570
Co 0.0000 0.0000 0.0000
Co -3.4784 -0.6383 -1.0137
```

* total magnetization: 0.544 μB/cell
* space-group type: C2/m, No. 12
* crystal system: monoclinic
* total DFT energy (no corrections): -9.20 eV per atom

***

[3]
The following is a GGA-PBE calculation of KOs2Pd after structural relaxation, from the Alexandria database.

extended XYZ file:
```
8
Lattice="-0.5884 -3.3375 -2.3711 2.5524 1.5739 -2.8488 8.7614 -5.4226 1.8511" Properties=species:S:1:pos:R:3 pbc="T T T"
K 0.9820 -0.8818 -2.6100
K 6.1479 -2.3653 -1.8038
Os 3.7792 -0.4081 -1.3434
Os 7.0161 -4.9080 -0.2439
Os 8.5809 -5.4304 -3.5043
Os 2.0745 -3.6259 -1.6460
Pd 0.0000 0.0000 0.0000
Pd 4.5775 -4.8210 -1.5650
```

* total magnetization: 0.000 μB/cell
* space-group type: I-42d, No. 122
* crystal system: tetragonal
* total DFT energy (no corrections): -5.90 eV per atom

***

[4]
The following is a GGA-PBE calculation of GdCd2In after structural relaxation, from the Alexandria database.

extended XYZ file:
```
4
Lattice="4.7253 0.0000 0.0000 0.0000 4.5704 0.0000 0.0000 0.0000 4.5704" Properties=species:S:1:pos:R:3 pbc="T T T"
Cd 0.0000 2.2852 0.0000
Cd 0.0000 0.0000 2.2852
In 2.3627 0.0000 0.0000
Gd 2.3627 2.2852 2.2852
```

* total magnetization: 7.448 μB/cell
* space-group type: P4/mmm, No. 123
* crystal system: tetragonal
* total DFT energy (no corrections): -4.99 eV per atom

***

[5]
The following is a GGA-PBE calculation of Ba2YPb2O6 after structural relaxation, from the Alexandria database.

extended XYZ file:
```
11
Lattice="-6.1501 -0.0334 2.0505 1.7875 -3.2971 -4.9411 2.1178 -2.8548 6.3055" Properties=species:S:1:pos:R:3 pbc="T T T"
O -3.1374 -2.6972 5.8039
O -2.5841 -2.8426 2.4518
O -0.1313 -2.6809 4.8017
O 0.3393 -3.3428 0.9631
O -2.1135 -3.5045 -1.3868
O 0.8926 -3.4881 -2.3891
Pb 0.3339 -1.1922 0.9820
Pb -2.5787 -4.9932 2.4329
Ba -3.3272 -1.7714 0.2403
Ba 1.0824 -4.4140 3.1746
Y -2.0161 -1.4441 4.1780
```

* total magnetization: 0.000 μB/cell
* space-group type: C2/m, No. 12
* formation energy without anion corrections: -2.032 eV/atom
* crystal system: monoclinic

***

[6]
The following is a GGA-PBE calculation of Mn2BeH after structural relaxation, from the Alexandria database.

extended XYZ file:
```
4
Lattice="-0.8603 1.1225 -1.9299 -2.2942 0.6759 -0.0673 0.7325 6.9428 2.2285" Properties=species:S:1:pos:R:3 pbc="T T T"
Mn -2.7451 3.2543 -1.3330
Mn 0.3231 5.4870 1.5643
H 0.0000 0.0000 0.0000
Be -1.2110 4.3706 0.1156
```

* total magnetization: 0.911 μB/cell
* space-group type: R-3m, No. 166
* crystal system: trigonal
* total DFT energy (no corrections): -5.91 eV per atom

***

[7]
The following is a GGA-PBE calculation of MnGaCoRuS after structural relaxation, from the Alexandria database.

extended XYZ file:
```
10
Lattice="-1.2372 2.8663 2.3839 -2.2910 -1.9259 1.1266 7.2069 -3.7486 8.2476" Properties=species:S:1:pos:R:3 pbc="T T T"
S -0.2379 -0.3236 3.5019
S 5.1297 -2.6681 5.8705
Mn 3.6729 -0.7990 6.1032
Mn -0.4575 -1.3208 1.3507
Ga 2.9630 -1.5411 3.3908
Ga 4.8023 -2.9452 9.2699
Co -0.0051 1.1141 1.8941
Co 3.0715 -3.1563 5.3893
Ru 6.5734 -3.4190 7.5226
Ru 1.2058 -1.0745 5.1540
```

* total magnetization: 7.248 μB/cell
* space-group type: Imm2, No. 44
* formation energy without anion corrections: -0.235 eV/atom
* crystal system: orthorhombic

***

[8]
The following is a GGA-PBE calculation of Y2GaCo3 after structural relaxation, from the Alexandria database.

extended XYZ file:
```
12
Lattice="5.2402 0.0000 0.0000 -2.6201 4.5381 0.0000 0.0000 0.0000 8.1194" Properties=species:S:1:pos:R:3 pbc="T T T"
Co 1.3652 0.7882 6.0896
Co 0.0000 1.5764 2.0299
Co 1.2549 3.7499 2.0299
Co -1.2549 3.7499 2.0299
Co 2.6201 2.9617 6.0896
Co 3.8750 0.7882 6.0896
Y 0.0000 3.0254 4.5871
Y 2.6201 1.5127 3.5324
Y 0.0000 3.0254 7.5921
Y 2.6201 1.5127 0.5274
Ga 0.0000 0.0000 0.0000
Ga 0.0000 0.0000 4.0597
```

* total magnetization: 2.815 μB/cell
* space-group type: P6_3/mmc, No. 194
* crystal system: hexagonal
* total DFT energy (no corrections): -6.51 eV per atom

***

[9]
The following is a GGA-PBE calculation of Ba2GaH after structural relaxation, from the Alexandria database.

extended XYZ file:
```
4
Lattice="-0.7856 0.6647 4.1495 1.1244 -2.9458 2.8871 7.4369 2.8304 3.1569" Properties=species:S:1:pos:R:3 pbc="T T T"
Ba 5.8583 2.0564 2.9820
Ba 1.6689 0.0025 2.5179
Ga 3.9076 0.2843 5.0989
H 0.2287 -1.5193 4.6913
```

* total magnetization: 0.000 μB/cell
* space-group type: R3m, No. 160
* crystal system: trigonal
* total DFT energy (no corrections): -2.76 eV per atom

***

[10]
The following is a GGA-PBE calculation of Cd2InB after structural relaxation, from the Alexandria database.

extended XYZ file:
```
4
Lattice="0.0000 3.4385 3.4385 3.4385 0.0000 3.4385 3.4385 3.4385 0.0000" Properties=species:S:1:pos:R:3 pbc="T T T"
Cd 1.7193 1.7193 1.7193
Cd 5.1578 5.1578 5.1578
B 0.0000 0.0000 0.0000
In 3.4385 3.4385 3.4385
```

* total magnetization: 0.000 μB/cell
* space-group type: Fm-3m, No. 225
* crystal system: cubic
* total DFT energy (no corrections): -1.88 eV per atom

***

[11]
The following is a GGA-PBE calculation of NdY3Er2P6 after structural relaxation, from the Alexandria database.

extended XYZ file:
```
12
Lattice="-3.9911 -1.1273 -5.6055 3.5780 -5.2642 2.8474 -4.9713 0.7728 4.8297" Properties=species:S:1:pos:R:3 pbc="T T T"
P -3.8322 -1.0594 2.9130
P -1.5522 -4.5592 -0.8414
P -2.7450 -4.8943 2.9945
P -2.6394 -0.7244 -0.9229
P -0.0673 -2.1302 1.9495
P -5.3171 -3.4885 0.1221
Er -1.4709 -2.5047 -2.7911
Er 1.0579 -3.8868 0.0330
Nd 0.0000 0.0000 0.0000
Y -5.2247 -1.4252 -1.7925
Y -0.1597 -4.1935 3.8641
Y -2.6922 -2.8093 1.0358
```

* total magnetization: 0.000 μB/cell
* space-group type: C2/m, No. 12
* crystal system: monoclinic
* total DFT energy (no corrections): -7.08 eV per atom

***

[12]
The following is a GGA-PBE calculation of Be2FePt after structural relaxation, from the Alexandria database.

extended XYZ file:
```
4
Lattice="4.7297 -0.0007 0.0004 2.3541 4.1023 -0.0004 -3.1459 -2.7348 2.2349" Properties=species:S:1:pos:R:3 pbc="T T T"
Be 7.0195 4.0643 0.0000
Be 2.6398 -0.2978 1.1176
Fe 3.6183 2.0950 0.0000
Pt 1.2861 1.6576 1.1173
```

* total magnetization: 2.388 μB/cell
* space-group type: Imm2, No. 44
* crystal system: orthorhombic
* total DFT energy (no corrections): -5.78 eV per atom